A plane-wave DFT calculation with PBE was carried out for crystalline HgP2PtO at its relaxed geometry.

Cell lengths 4.9153, 4.9153, 3.8167 Å; angles 90.00, 90.00, 90.00 degrees
Sites, in units of the cell vectors:
Hg1 0.0000 0.0000 0.0000
P1 0.0000 0.5000 0.5000
P2 0.5000 0.0000 0.5000
Pt1 0.5000 0.5000 0.5000
O1 0.5000 0.5000 0.0000

Properties
total magnetization = 0.67 μB per formula unit
uncorrected energy = -3.9822 eV per atom
DOS(E_F) = 3.17 states/eV/cell
formation energy without anion corrections = 0.4419 eV/atom